# 1
K2YS2: relaxed, GGA-PBE.

abc: 6.0355 6.0355 6.0355
angles: 125.89 125.89 80.07
Last column: nearest neighbours and their distance in Å.
Positions (direct):
K (0.1463, 0.1463, 0.0000)  1 K 2.71, 4 S 2.91
K (0.8537, 0.8537, 0.0000)  1 K 2.71, 4 S 2.91
Y (0.5000, 0.5000, 0.0000)  2 K 3.27, 8 S 3.59
S (0.2500, 0.7500, 0.5000)  4 K 2.91
S (0.7500, 0.2500, 0.5000)  4 K 2.91

- Uncorrected formation energy: -391.6 meV/atom
- V: 139.30 Å³ per cell
- N(E_F): 3.3 states/eV per cell
- Space-group type: I4/mmm

# 2
Pa2CuNi2: relaxed, GGA-PBE.

abc: 5.3846 5.3846 5.3846
angles: 140.69 113.19 80.35
Last column: nearest neighbours and their distance in Å.
Positions (direct):
Pa (0.2175, 0.2175, 0.0000)  6 Ni 2.83-2.90, 2 Cu 2.95
Pa (0.7825, 0.7825, 0.0000)  6 Ni 2.83-2.90, 2 Cu 2.95
Cu (0.5000, 0.0000, 0.5000)  4 Ni 2.51
Ni (0.2069, 0.5000, 0.7069)  1 Ni 2.45, 2 Cu 2.51
Ni (0.7931, 0.5000, 0.2931)  1 Ni 2.45, 2 Cu 2.51

- V: 88.34 Å³ per cell
- Formation enthalpy at 0 K: -0.21 eV/atom
- N(E_F): 6.9 states/eV per cell
- Space-group type: Immm

# 3
BeTlCr: relaxed, GGA-PBE.

abc: 3.1625 3.1625 6.1290
angles: 90.00 90.00 120.00
Last column: nearest neighbours and their distance in Å.
Positions (direct):
Be (0.0000, 0.0000, 0.0000)  3 Cr 2.45
Tl (0.3333, 0.6667, 0.6607)  3 Be 2.77, 3 Cr 3.02
Cr (0.6667, 0.3333, 0.2673)  3 Be 2.45

- V: 53.09 Å³ per cell
- Formation enthalpy at 0 K: 0.81 eV/atom
- N(E_F): 1.4 states/eV per cell
- Space-group type: P3m1

# 4
TiAl2Ag2: relaxed, GGA-PBE.

abc: 7.7624 7.7624 2.8327
angles: 90.00 90.00 90.00
Last column: nearest neighbours and their distance in Å.
Positions (direct):
Ti (0.0000, 0.0000, 0.0000)  2 Ti 2.83, 4 Ag 3.05
Ti (0.5000, 0.5000, 0.0000)  2 Ti 2.83, 4 Ag 3.05
Al (0.1729, 0.3271, 0.5000)  6 Ag 2.60-2.76, 2 Al 2.83
Al (0.3271, 0.8271, 0.5000)  6 Ag 2.60-2.76, 2 Al 2.83
Al (0.6729, 0.1729, 0.5000)  6 Ag 2.60-2.76, 2 Al 2.83
Al (0.8271, 0.6729, 0.5000)  6 Ag 2.60-2.76, 2 Al 2.83
Ag (0.1283, 0.6283, 0.0000)  6 Al 2.60-2.76, 3 Ag 2.82-2.83
Ag (0.3717, 0.1283, 0.0000)  6 Al 2.60-2.76, 3 Ag 2.82-2.83
Ag (0.6283, 0.8717, 0.0000)  6 Al 2.60-2.76, 3 Ag 2.82-2.83
Ag (0.8717, 0.3717, 0.0000)  6 Al 2.60-2.76, 3 Ag 2.82-2.83

- V: 170.69 Å³ per cell
- Formation enthalpy at 0 K: 0.00 eV/atom
- N(E_F): 6.1 states/eV per cell
- Space-group type: P4/mbm

# 5
Tb4Dy2C: relaxed, GGA-PBE.

abc: 9.4458 9.4458 9.4458
angles: 150.06 150.06 42.86
Last column: nearest neighbours and their distance in Å.
Positions (direct):
Tb (0.0000, 0.5000, 0.5000)  2 C 2.44
Tb (0.1357, 0.1357, 0.0000)  1 C 2.39
Tb (0.5000, 0.0000, 0.5000)  2 C 2.44
Tb (0.8643, 0.8643, 0.0000)  1 C 2.39
Dy (0.3284, 0.3284, 0.0000)  5 Tb 3.39-3.51
Dy (0.6716, 0.6716, 0.0000)  5 Tb 3.39-3.51
C (0.0000, 0.0000, 0.0000)  6 Tb 2.39-2.44

- V: 209.41 Å³ per cell
- Formation enthalpy at 0 K: 0.15 eV/atom
- N(E_F): 8.9 states/eV per cell
- Space-group type: I4/mmm

# 6
Sr3Sm3CdSe8: relaxed, GGA-PBE.

abc: 8.6573 8.6573 8.6573
angles: 58.59 58.59 58.59
Last column: nearest neighbours and their distance in Å.
Positions (direct):
Sr (0.0000, 0.5000, 0.5000)  6 Se 3.09-3.11
Sr (0.5000, 0.0000, 0.5000)  6 Se 3.09-3.11
Sr (0.5000, 0.5000, 0.0000)  6 Se 3.09-3.11
Sm (0.0000, 0.0000, 0.5000)  6 Se 2.95-2.97
Sm (0.0000, 0.5000, 0.0000)  6 Se 2.95-2.97
Sm (0.5000, 0.0000, 0.0000)  6 Se 2.95-2.97
Cd (0.5000, 0.5000, 0.5000)  6 Se 2.94
Se (0.2444, 0.7424, 0.7424)  1 Cd 2.94, 2 Sm 2.95, 2 Sr 3.11
Se (0.2453, 0.2453, 0.2453)  3 Sm 2.97, 3 Sr 3.09
Se (0.2576, 0.2576, 0.7556)  1 Cd 2.94, 2 Sm 2.95, 2 Sr 3.11
Se (0.2576, 0.7556, 0.2576)  1 Cd 2.94, 2 Sm 2.95, 2 Sr 3.11
Se (0.7424, 0.2444, 0.7424)  1 Cd 2.94, 2 Sm 2.95, 2 Sr 3.11
Se (0.7424, 0.7424, 0.2444)  1 Cd 2.94, 2 Sm 2.95, 2 Sr 3.11
Se (0.7547, 0.7547, 0.7547)  3 Sm 2.97, 3 Sr 3.09
Se (0.7556, 0.2576, 0.2576)  1 Cd 2.94, 2 Sm 2.95, 2 Sr 3.11

- Uncorrected formation energy: -1733.6 meV/atom
- V: 443.96 Å³ per cell
- N(E_F): 4.1 states/eV per cell
- Space-group type: R-3m